1.
The following is a PBE calculation of a relaxed NdPtAu crystal, from the Alexandria database.

Structure (POSCAR):
```
NdPtAu
1.0
-3.932 -2.871 -1.004
4.741 -4.953 -4.404
1.543 -4.441 6.656
Pt Nd Au
4 4 4
Direct
0.500 0.828 0.270
0.500 0.172 0.730
0.000 0.270 0.172
0.000 0.730 0.828
0.500 0.809 0.620
0.000 0.380 0.809
0.000 0.620 0.191
0.500 0.191 0.380
0.500 0.333 0.036
0.000 0.964 0.333
0.000 0.036 0.667
0.500 0.667 0.964
```

## Properties
Theoretical density (g cm⁻³): 10.79
Excess energy over the best structure of this formula in the dataset (meV per atom): 290
Crystal system: tetragonal



2.
The following is a PBE calculation of a relaxed K3ErSc2S6 crystal, from the Alexandria database.

Structure (POSCAR):
```
K3ErSc2S6
1.0
6.757 -0.001 0.000
-3.378 5.852 0.000
-1.128 -1.952 7.318
K Er Sc S
3 1 2 6
Direct
0.165 0.835 0.500
0.835 0.165 0.500
0.500 0.500 0.500
0.000 0.000 0.000
0.333 0.667 0.000
0.667 0.333 0.000
0.935 0.591 0.805
0.721 0.721 0.195
0.065 0.409 0.195
0.591 0.935 0.805
0.279 0.279 0.805
0.409 0.065 0.195
```

## Properties
Theoretical density (g cm⁻³): 3.25
Raw formation energy (eV per atom): -1.797
Crystal system: monoclinic



3.
The following is a PBE calculation of a relaxed CsTiSn2Br8 crystal, from the Alexandria database.

Structure (POSCAR):
```
CsTiSn2Br8
1.0
-1.348 -3.637 -5.651
-3.870 -6.083 2.973
-9.509 1.945 -0.996
Cs Ti Sn Br
1 1 2 8
Direct
0.000 0.000 0.500
0.000 0.000 0.000
0.461 0.418 0.748
0.539 0.582 0.252
0.133 0.737 0.228
0.718 0.812 0.003
0.777 0.168 0.166
0.867 0.263 0.772
0.282 0.188 0.997
0.223 0.832 0.834
0.561 0.749 0.456
0.439 0.251 0.544
```

## Properties
Theoretical density (g cm⁻³): 3.61
Raw formation energy (eV per atom): -1.036
Crystal system: triclinic



4.
The following is a PBE calculation of a relaxed YZn3P3 crystal, from the Alexandria database.

Structure (POSCAR):
```
YZn3P3
1.0
4.003 0.000 0.000
-2.002 3.467 0.000
0.000 0.000 19.880
Y Zn P
2 6 6
Direct
0.000 0.000 0.000
0.000 0.000 0.500
0.333 0.667 0.750
0.667 0.333 0.250
0.333 0.667 0.128
0.667 0.333 0.872
0.667 0.333 0.628
0.333 0.667 0.372
0.333 0.667 0.584
0.667 0.333 0.416
0.667 0.333 0.084
0.333 0.667 0.916
0.333 0.667 0.250
0.667 0.333 0.750
```

## Properties
Theoretical density (g cm⁻³): 4.55
Calculated total energy (eV/atom): -4.39
Crystal system: hexagonal



5.
The following is a PBE calculation of a relaxed CuRu2W crystal, from the Alexandria database.

Structure (POSCAR):
```
CuRu2W
1.0
4.577 -0.008 0.008
3.762 2.606 0.008
0.736 0.229 4.733
Cu Ru W
1 2 1
Direct
0.250 0.250 0.250
0.000 0.000 0.014
0.500 0.500 0.486
0.750 0.750 0.750
```

## Properties
Theoretical density (g cm⁻³): 13.19
Excess energy over the best structure of this formula in the dataset (meV per atom): 89
Crystal system: monoclinic



6.
The following is a PBE calculation of a relaxed Tl2CdAu2 crystal, from the Alexandria database.

Structure (POSCAR):
```
Tl2CdAu2
1.0
-0.099 -1.171 3.721
1.808 -3.312 -0.994
8.423 1.478 2.736
Tl Au Cd
2 2 1
Direct
0.393 0.393 0.215
0.607 0.607 0.785
0.750 0.250 0.500
0.250 0.750 0.500
0.000 0.000 0.000
```

## Properties
Theoretical density (g cm⁻³): 11.68
Excess energy over the best structure of this formula in the dataset (meV per atom): 87
Crystal system: tetragonal



7.
The following is a PBE calculation of a relaxed Zn2SiNi crystal, from the Alexandria database.

Structure (POSCAR):
```
Zn2SiNi
1.0
-2.570 -5.544 5.712
-0.055 -6.557 5.193
-0.371 -4.520 7.029
Ni Si Zn
1 1 2
Direct
0.494 0.494 0.494
0.760 0.760 0.760
0.004 0.004 0.004
0.242 0.242 0.242
```

## Properties
Theoretical density (g cm⁻³): 6.67
Raw formation energy (eV per atom): -0.096
Crystal system: trigonal



8.
The following is a PBE calculation of a relaxed GaHg2N crystal, from the Alexandria database.

Structure (POSCAR):
```
GaHg2N
1.0
-6.025 -1.433 -0.530
0.231 -2.986 5.447
-4.038 1.764 4.685
Hg Ga N
4 2 2
Direct
0.551 0.125 0.250
0.199 0.625 0.250
0.375 0.449 0.750
0.875 0.801 0.750
0.000 0.000 0.000
0.750 0.250 0.500
0.500 0.500 0.000
0.250 0.750 0.500
```

## Properties
Theoretical density (g cm⁻³): 8.88
Excess energy over the best structure of this formula in the dataset (meV per atom): 0
Raw formation energy (eV per atom): 0.787
Crystal system: tetragonal



Which formula does entry 4 have?
YZn3P3



The highest theoretical density belongs to which entry?
CuRu2W



Which formula does entry 4 have?
YZn3P3



Which formula does entry 8 have?
GaHg2N